# 1
First-principles (GGA-PBE) data for a relaxed LaMgSc2Co crystal, as listed in Alexandria.

Geometry as POSCAR:
```
LaMgSc2Co
1.0
5.0090 0.0000 0.0000
0.0000 5.0090 0.0000
0.0000 0.0000 5.2083
La Mg Sc Co
1 1 2 1
Direct
0.0000 0.0000 0.0000
0.5000 0.5000 0.0000
0.0000 0.5000 0.5000
0.5000 0.0000 0.5000
0.0000 0.0000 0.5000
```

Output
**Total energy**: -26.5 eV per formula unit
**Crystal system**: tetragonal
**Excess energy over the best structure of this formula in the dataset**: 44 meV/atom
**Calculated formation energy**: -0.04 eV per atom

# 2
First-principles (GGA-PBE) data for a relaxed K3Rb4MgF8 crystal, as listed in Alexandria.

Geometry as POSCAR:
```
K3Rb4MgF8
1.0
3.8761 2.2379 6.4724
-3.8761 2.2379 6.4724
0.0000 -4.4757 6.4724
K Rb Mg F
3 4 1 8
Direct
0.0000 0.5000 0.5000
0.5000 0.0000 0.5000
0.5000 0.5000 0.0000
0.0000 0.0000 0.5000
0.0000 0.5000 0.0000
0.5000 0.0000 0.0000
0.5000 0.5000 0.5000
0.0000 0.0000 0.0000
0.1909 0.1909 0.8029
0.1909 0.8029 0.1909
0.1971 0.8091 0.8091
0.2560 0.2560 0.2560
0.7440 0.7440 0.7440
0.8029 0.1909 0.1909
0.8091 0.1971 0.8091
0.8091 0.8091 0.1971
```

Output
**Total energy**: -65.3 eV per formula unit
**Formation energy (no corrections)**: -2596 meV per atom
**Crystal system**: trigonal